No. 1
Lu3Ta5H12 (PBE, relaxed); space group = Ia-3d, No. 230; density = 12.162 g/cm3; total moment = 0.00 Bohr magnetons per cell; uncorrected energy = -473.759 eV/cell; V = 196.8 Å³/f.u.
1.0
10.076 0.000 0.000
-3.359 9.499 0.000
-3.359 -4.750 8.227
Lu Ta H
12 20 48
Cartesian
5.877 2.969 1.028
5.877 6.531 1.028
-0.840 4.156 5.142
0.840 -0.594 3.085
7.557 0.000 2.057
0.840 4.750 2.057
2.519 0.000 6.170
-4.198 4.750 6.170
2.519 5.343 5.142
4.198 0.594 3.085
-2.519 -1.781 7.198
-2.519 1.781 7.198
-0.840 2.375 2.057
-1.679 4.750 0.000
0.000 0.000 0.000
2.519 1.781 1.028
3.359 -2.375 4.113
3.359 4.750 0.000
-2.519 5.343 3.085
4.198 -2.969 7.198
4.198 4.156 3.085
0.840 -2.375 6.170
2.519 7.124 2.057
1.679 2.375 4.113
5.038 0.000 0.000
-1.679 -2.375 4.113
-0.840 0.594 5.142
-0.840 7.718 1.028
-3.359 2.375 4.113
5.877 -0.594 5.142
0.840 2.969 7.198
4.198 2.375 6.170
6.574 1.053 0.456
0.143 3.296 3.429
7.353 2.089 2.327
4.401 1.404 1.140
1.198 3.669 5.444
7.015 4.772 1.330
-0.636 5.435 3.467
-2.722 8.095 1.140
0.481 5.830 5.444
4.739 4.727 1.330
5.181 2.507 2.973
5.181 8.446 0.456
-2.877 4.174 4.569
1.978 3.587 0.646
-3.502 6.993 2.973
1.823 -1.453 4.798
-0.481 0.505 1.786
1.978 5.891 0.684
4.401 7.410 2.327
-0.298 3.609 0.684
-2.160 5.254 6.441
2.316 4.064 3.467
4.557 5.325 4.569
3.657 -1.163 7.581
1.043 0.685 4.759
-1.198 -0.576 3.657
-0.298 5.913 0.646
-1.043 -2.660 5.899
5.519 -0.505 1.786
3.657 1.141 7.542
1.381 -1.141 7.542
1.536 6.203 3.429
3.840 4.245 6.441
6.860 -2.243 5.254
6.236 0.576 3.657
-1.823 -3.696 7.771
1.381 1.163 7.581
2.877 -1.080 2.783
-1.381 0.022 6.896
-1.823 2.243 5.254
6.081 -3.346 7.086
3.995 -0.685 4.759
-1.043 3.346 7.086
-3.657 -0.022 6.896
2.160 1.080 2.783
-3.995 2.660 5.899
3.215 1.453 4.798
-3.215 3.696 7.771

No. 2
Lu5Ta3H12 (PBE, relaxed); space group = Ia-3d, No. 230; density = 11.020 g/cm3; total moment = 0.00 Bohr magnetons per cell; uncorrected energy = -413.562 eV/cell; V = 215.4 Å³/f.u.
1.0
-1.158 9.758 3.354
-7.573 -2.267 -6.732
-0.479 -6.514 8.072
H Lu Ta
48 20 12
Cartesian
-2.139 6.248 1.992
-4.997 -0.623 0.610
-3.727 6.472 2.992
-2.511 4.059 1.718
-6.516 -0.375 2.234
-5.568 6.657 0.373
-6.424 -1.165 -0.505
-7.244 -2.363 -4.661
-7.954 -0.624 1.034
-5.215 4.871 -0.133
-4.227 4.359 2.451
-7.950 5.677 -2.666
-6.016 -3.827 0.309
-3.562 1.888 -1.131
-7.167 -3.600 -3.235
-2.035 0.039 5.061
-1.340 -1.205 1.077
-5.464 2.062 -2.296
-8.176 4.416 -1.277
-3.512 0.079 -1.674
-7.720 -3.820 1.127
-5.924 1.379 0.978
-7.760 3.225 2.045
-3.971 0.623 7.763
-3.286 -0.403 3.716
-1.451 -2.248 2.649
-5.239 0.353 -3.069
-1.034 -3.440 5.971
-1.491 4.797 3.567
-5.699 0.898 6.368
-3.746 -1.086 6.989
-7.176 0.937 -0.367
-7.870 2.182 3.616
-2.043 4.577 7.928
-3.194 4.804 4.385
-1.261 -4.700 7.360
-5.648 -0.911 5.825
-1.256 1.600 3.660
-3.996 -3.895 4.827
-4.984 -3.383 2.243
-1.967 3.340 9.355
-2.787 2.142 5.199
-6.699 -3.083 2.976
-3.642 -5.680 4.321
-2.695 1.352 2.460
-5.484 -5.495 1.702
-4.213 1.600 4.084
-7.071 -5.271 2.702
-3.104 -1.259 -0.087
-3.787 -1.134 -3.366
0.000 0.000 0.000
-2.387 2.278 0.584
-0.819 1.622 5.713
-4.365 3.745 -1.689
-6.004 -2.924 -1.603
-2.234 1.335 8.737
-5.781 3.459 1.335
-1.740 -1.510 6.470
-7.470 2.486 -1.776
-4.605 0.488 2.347
-0.579 4.879 1.677
-0.240 -3.257 4.036
-3.429 -2.482 3.359
-6.976 -0.359 -4.043
-4.026 -4.391 0.670
-3.206 3.900 6.297
-6.823 -1.302 4.110
-6.106 2.236 4.781
-3.768 5.654 1.000
-6.753 6.024 -1.105
-6.414 -2.113 1.253
-1.416 -0.287 3.024
-2.080 6.626 4.111
-5.287 0.614 -0.932
-3.923 0.363 5.626
-7.131 -5.650 0.582
-7.794 1.263 1.670
-2.797 3.089 3.440
-2.457 -5.047 5.799
-5.442 -4.678 3.694

No. 3
Tb2LuH (PBE, relaxed); space group = P4/mmm, No. 123; density = 8.801 g/cm3; total moment = 0.00 Bohr magnetons per cell; energy above the most stable polymorph in this dataset = 278 meV/atom; uncorrected energy = -16.732 eV/cell; V = 93.2 Å³/f.u.
1.0
-1.614 -1.096 -2.706
2.721 0.554 -1.848
2.653 -7.783 1.571
H Lu Tb
1 1 2
Cartesian
0.554 -0.271 -2.277
1.880 -4.163 -1.492
2.139 -6.277 1.267
0.514 -1.507 0.304

No. 4
TbLuH (PBE, relaxed); space group = P3m1, No. 156; density = 9.087 g/cm3; total moment = 0.00 Bohr magnetons per cell; energy above the most stable polymorph in this dataset = 0 meV/atom; uncorrected energy = -13.221 eV/cell; V = 61.2 Å³/f.u.
1.0
-1.762 2.969 0.949
-1.423 -3.217 0.668
2.500 -0.087 4.912
H Lu Tb
1 1 1
Cartesian
0.121 -1.212 4.017
-0.591 0.870 2.933
2.286 -0.079 4.491

No. 5
Tb3LuH (PBE, relaxed); space group = Pm-3m, No. 221; density = 8.795 g/cm3; total moment = 0.00 Bohr magnetons per cell; uncorrected energy = -22.558 eV/cell; V = 123.2 Å³/f.u.
1.0
4.977 0.000 0.000
0.000 4.977 0.000
0.000 0.000 4.977
H Lu Tb
1 1 3
Cartesian
0.000 0.000 0.000
2.488 2.488 2.488
0.000 2.488 0.000
0.000 0.000 2.488
2.488 0.000 0.000

No. 6
TbLuH (PBE, relaxed); space group = I4mm, No. 107; density = 8.508 g/cm3; total moment = 0.00 Bohr magnetons per cell; energy above the most stable polymorph in this dataset = 142 meV/atom; uncorrected energy = -12.794 eV/cell; V = 65.4 Å³/f.u.
1.0
3.306 0.000 0.000
0.000 3.306 0.000
-1.653 -1.653 5.979
H Lu Tb
1 1 1
Cartesian
0.000 0.000 2.638
1.653 1.653 2.916
0.000 0.000 0.425

No. 7
Tb5Lu3H12 (PBE, relaxed); space group = Ia-3d, No. 230; density = 8.112 g/cm3; total moment = 0.00 Bohr magnetons per cell; uncorrected energy = -344.114 eV/cell; V = 272.6 Å³/f.u.
1.0
-0.336 4.608 10.236
-2.893 -10.831 0.673
10.403 0.845 -4.146
Lu Tb H
12 20 48
Cartesian
-0.037 -0.500 7.411
-1.164 -3.986 8.943
4.206 -5.867 1.752
3.455 0.115 1.088
1.945 2.889 8.004
0.666 -4.830 3.223
6.507 -0.548 3.541
5.229 -8.267 -1.241
3.718 -5.493 5.675
2.968 0.489 5.011
8.337 -1.392 -2.180
7.210 -4.878 -0.648
1.474 -3.274 0.495
-1.447 -5.415 0.337
0.000 0.000 0.000
0.451 -0.874 3.489
5.034 2.726 3.045
-1.615 -3.111 5.455
1.689 -7.230 0.230
8.489 2.841 4.133
1.841 -2.996 6.543
7.315 1.008 0.813
-0.141 -6.386 5.950
3.587 -2.689 3.382
-0.168 2.304 5.118
5.201 0.422 -2.073
5.333 -2.381 0.220
-1.315 -8.219 2.630
3.755 -4.993 -1.736
5.485 1.852 6.534
6.723 -4.504 3.275
5.700 -2.104 6.268
0.008 1.667 7.242
2.492 -4.228 2.207
1.566 0.839 8.622
0.821 0.321 5.309
4.540 -4.692 3.551
-0.399 -1.979 9.285
2.167 -6.445 2.238
-1.074 -9.571 0.900
3.933 -6.809 3.958
-0.253 -2.648 7.152
2.031 -0.813 6.815
-2.200 -5.897 8.965
3.764 -6.633 -0.234
-0.621 -2.805 3.489
0.888 -9.256 -0.134
5.542 0.774 2.109
1.864 -1.202 -0.161
-1.095 -5.042 4.480
-0.125 -6.006 8.126
-0.364 -3.898 1.550
5.256 -7.865 0.896
2.418 -4.054 4.692
3.168 -4.471 7.514
8.472 0.639 4.290
4.756 -1.324 2.071
4.006 -0.907 -0.750
-1.298 -6.016 2.473
7.299 0.628 -1.362
1.918 2.487 5.868
7.537 -1.480 5.213
8.269 -0.336 2.283
1.632 -6.152 4.654
5.309 -4.176 6.925
6.285 3.878 6.897
3.410 1.255 6.998
9.373 0.519 -2.202
7.795 -2.573 3.275
3.241 1.432 2.805
7.427 -2.730 -0.388
5.143 -4.565 -0.052
8.248 4.194 5.863
5.007 1.067 4.526
6.353 -5.698 1.454
7.572 -3.399 -2.521
2.634 -0.686 3.213
5.608 -6.217 -1.859
4.681 -1.150 4.556
7.166 -7.045 -0.479

No. 8
Tb2LuH (PBE, relaxed); space group = R-3m, No. 166; density = 8.741 g/cm3; total moment = 0.00 Bohr magnetons per cell; energy above the most stable polymorph in this dataset = 0 meV/atom; uncorrected energy = -17.843 eV/cell; V = 93.8 Å³/f.u.
1.0
-2.367 0.312 2.682
-3.517 0.135 -0.715
-2.401 -8.220 1.241
H Lu Tb
1 1 2
Cartesian
0.000 0.000 0.000
-4.142 -3.886 1.604
-6.251 -6.544 2.456
-2.034 -1.229 0.752

Which value of V does entry 8 give?
93.8 Å³/f.u.

Which of these has the lowest density?
Tb5Lu3H12